[1]
First-principles (PBE-GGA) data for Na3Cu2Te4 after structural relaxation, as listed in Alexandria.

Output
Formation energy from raw total energies, eV/f.u.: -3.96
Spin magnetization, μB per cell: 0.00
Mass density, g cm⁻³: 4.96

abc: 4.100 7.111 9.197
angles: 111.76 90.00 106.76
Positions (direct):
Na 0.379 0.759 0.312
Na 0.621 0.241 0.688
Te 0.701 0.402 0.099
Te 0.092 0.183 0.378
Te 0.908 0.817 0.622
Na 0.000 0.000 0.000
Te 0.299 0.598 0.901
Cu 0.284 0.568 0.603
Cu 0.716 0.432 0.397

***

[2]
First-principles (PBE-GGA) data for CuTc3Rh after structural relaxation, as listed in Alexandria.

Output
Formation enthalpy at 0 K, meV/atom: 1667
Spin magnetization, μB per cell: 0.00
Mass density, g cm⁻³: 9.08

abc: 4.384 4.384 4.384
angles: 90.00 90.00 90.00
Positions (direct):
Tc 0.500 0.000 0.000
Tc 0.000 0.500 0.000
Rh 0.500 0.500 0.500
Cu 0.000 0.000 0.000
Tc 0.000 0.000 0.500

***

[3]
First-principles (PBE-GGA) data for KAg2SeI after structural relaxation, as listed in Alexandria.

Output
Formation energy from raw total energies, eV/f.u.: -2.45
Spin magnetization, μB per cell: 0.00
Mass density, g cm⁻³: 4.54

abc: 5.031 5.031 6.650
angles: 90.00 90.00 90.00
Positions (direct):
Ag 0.000 0.500 0.000
I 0.500 0.500 0.500
Ag 0.500 0.000 0.000
Se 0.000 0.000 0.000
K 0.000 0.000 0.500

***

[4]
First-principles (PBE-GGA) data for Cs3Tl4Sb2Au2 after structural relaxation, as listed in Alexandria.

Output
Formation energy from raw total energies, eV/f.u.: -1.86
Spin magnetization, μB per cell: 0.00
Mass density, g cm⁻³: 6.60

abc: 5.223 5.223 19.754
angles: 90.00 90.00 120.00
Positions (direct):
Cs 0.000 0.000 0.000
Tl 0.667 0.333 0.559
Cs 0.000 0.000 0.298
Au 0.667 0.333 0.413
Tl 0.667 0.333 0.147
Sb 0.333 0.667 0.147
Au 0.333 0.667 0.587
Tl 0.333 0.667 0.441
Tl 0.333 0.667 0.853
Sb 0.667 0.333 0.853
Cs 0.000 0.000 0.702

***

[5]
First-principles (PBE-GGA) data for Zn6Ag3Pd after structural relaxation, as listed in Alexandria.

Output
Formation enthalpy at 0 K, meV/atom: -137
Spin magnetization, μB per cell: 0.00
Mass density, g cm⁻³: 8.77

abc: 4.149 11.475 9.131
angles: 134.22 90.00 90.00
Positions (direct):
Zn 0.750 0.954 0.856
Ag 0.750 0.654 0.449
Zn 0.250 0.046 0.144
Zn 0.250 0.653 0.950
Pd 0.250 0.943 0.327
Zn 0.250 0.864 0.547
Ag 0.750 0.443 0.850
Ag 0.250 0.748 0.743
Zn 0.750 0.554 0.660
Zn 0.750 0.771 0.267
Pd 0.750 0.057 0.673
Ag 0.750 0.252 0.257
Zn 0.250 0.446 0.340
Zn 0.750 0.853 0.052
Zn 0.750 0.136 0.453
Zn 0.750 0.347 0.050
Ag 0.250 0.557 0.150
Zn 0.250 0.229 0.733
Zn 0.250 0.147 0.948
Ag 0.250 0.346 0.551

***

[6]
First-principles (PBE-GGA) data for AcMgAg after structural relaxation, as listed in Alexandria.

Output
Formation enthalpy at 0 K, meV/atom: -190
Spin magnetization, μB per cell: 0.00
Mass density, g cm⁻³: 6.86

abc: 3.984 5.020 5.020
angles: 120.00 90.00 90.00
Positions (direct):
Ag 0.166 0.000 0.000
Mg 0.167 0.333 0.667
Ac 0.666 0.667 0.333

***

[7]
First-principles (PBE-GGA) data for TaAg4Cl after structural relaxation, as listed in Alexandria.

Output
Formation energy from raw total energies, eV/f.u.: 4.12
Spin magnetization, μB per cell: 2.31
Mass density, g cm⁻³: 9.06

abc: 5.516 5.516 5.516
angles: 60.00 60.00 60.00
Positions (direct):
Ag 0.375 0.876 0.375
Ag 0.876 0.375 0.375
Ag 0.375 0.375 0.375
Cl 0.750 0.750 0.750
Ta 0.000 0.000 0.000
Ag 0.375 0.375 0.876

***

[8]
First-principles (PBE-GGA) data for Sr5Mg2 after structural relaxation, as listed in Alexandria.

Output
Formation enthalpy at 0 K, meV/atom: 11
Spin magnetization, μB per cell: 0.00
Mass density, g cm⁻³: 2.52

abc: 6.927 10.283 9.737
angles: 97.99 110.84 90.00
Positions (direct):
Sr 0.583 0.821 0.440
Mg 0.767 0.579 0.190
Sr 0.729 0.569 0.794
Mg 0.577 0.921 0.810
Sr 0.417 0.179 0.560
Sr 0.857 0.321 0.440
Sr 0.315 0.750 0.000
Sr 0.685 0.250 0.000
Sr 0.065 0.069 0.794
Sr 0.935 0.931 0.206
Mg 0.233 0.421 0.810
Sr 0.271 0.431 0.206
Sr 0.143 0.679 0.560
Mg 0.423 0.079 0.190

***

> The lowest mass density belongs to which entry?

Sr5Mg2

***

> Which formula does entry 3 have?

KAg2SeI

***

> Among the records above, which one has the highest mass density?

CuTc3Rh

***

> Number 2 is which compound?

CuTc3Rh